# 1
Crystalline Ca4InHg3 at its relaxed geometry, computed with PBE-GGA.

Cell: 16.011 5.422 5.422 Å, 90.00 109.61 90.00°
Space group C2/m (No. 12)
Symmetry-distinct sites (fractional):
Ca  0.126  0.000  0.126 [4 per cell]
Ca  0.126  0.500  0.626 [4 per cell]
In  0.000  0.000  0.500 [2 per cell]
Hg  0.000  0.500  0.000 [2 per cell]
Hg  0.248  0.000  0.748 [4 per cell]

***

# 2
Crystalline PmNdDyTl at its relaxed geometry, computed with PBE-GGA.

Cell: 7.866 7.866 7.866 Å, 90.00 90.00 90.00°
Space group F-43m (No. 216)
Symmetry-distinct sites (fractional):
Pm  0.000  0.000  0.000 [4 per cell]
Nd  0.250  0.250  0.750 [4 per cell]
Dy  0.250  0.250  0.250 [4 per cell]
Tl  0.000  0.000  0.500 [4 per cell]

Summary:
Energy above the lowest structure with this stoichiometry, meV per atom: 164

***

# 3
Crystalline AgB3Rh at its relaxed geometry, computed with PBE-GGA.

Cell: 4.063 4.063 4.063 Å, 90.00 90.00 90.00°
Space group Pm-3m (No. 221)
Symmetry-distinct sites (fractional):
Ag  0.000  0.000  0.000 [1 per cell]
B  0.000  0.000  0.500 [3 per cell]
Rh  0.500  0.500  0.500 [1 per cell]

Summary:
Energy above the lowest structure with this stoichiometry, meV per atom: 1047

***

# 4
Crystalline Te2SeBr at its relaxed geometry, computed with PBE-GGA.

Cell: 3.856 5.320 10.850 Å, 90.00 90.00 90.00°
Space group Imm2 (No. 44)
Symmetry-distinct sites (fractional):
Te  0.000  0.000  0.000 [2 per cell]
Te  0.000  0.500  0.287 [2 per cell]
Se  0.000  0.500  0.698 [2 per cell]
Br  0.000  0.000  0.489 [2 per cell]

Summary:
Energy above the lowest structure with this stoichiometry, meV per atom: 309

***

# 5
Crystalline Pu2AgHg5 at its relaxed geometry, computed with PBE-GGA.

Cell: 6.616 6.616 9.321 Å, 90.00 90.00 90.00°
Space group I4mm (No. 107)
Symmetry-distinct sites (fractional):
Pu  0.000  0.500  0.000 [4 per cell]
Ag  0.000  0.000  0.002 [2 per cell]
Hg  0.000  0.000  0.499 [2 per cell]
Hg  0.249  0.249  0.750 [8 per cell]

Summary:
Energy above the lowest structure with this stoichiometry, meV per atom: 0

***

# 6
Crystalline NaCaSI at its relaxed geometry, computed with PBE-GGA.

Cell: 7.311 4.221 7.936 Å, 90.00 107.82 90.00°
Space group Cm (No. 8)
Symmetry-distinct sites (fractional):
Na  0.000  0.000  0.000 [2 per cell]
Ca  0.206  0.000  0.616 [2 per cell]
S  0.097  0.500  0.791 [2 per cell]
I  0.276  0.500  0.327 [2 per cell]

***

# 7
Crystalline FeW at its relaxed geometry, computed with PBE-GGA.

Cell: 9.419 3.089 6.067 Å, 90.00 108.82 90.00°
Space group Cm (No. 8)
Symmetry-distinct sites (fractional):
Fe  0.000  0.000  0.000 [2 per cell]
Fe  0.001  0.000  0.486 [2 per cell]
Fe  0.343  0.000  0.164 [2 per cell]
W  0.166  0.500  0.318 [2 per cell]
W  0.170  0.500  0.831 [2 per cell]
W  0.341  0.000  0.659 [2 per cell]

***

# 8
Crystalline SiHg at its relaxed geometry, computed with PBE-GGA.

Cell: 3.5398 3.5398 11.5598 Å, 90.00 90.00 120.00°
Space group R-3m (No. 166, hexagonal axes)
Symmetry-distinct sites (fractional):
Si  0.0000  0.0000  0.0000 [3 per cell]
Hg  0.0000  0.0000  0.5000 [3 per cell]

Summary:
Energy above the lowest structure with this stoichiometry, meV per atom: 410

***

# 9
Crystalline SmErCBr at its relaxed geometry, computed with PBE-GGA.

Cell: 3.6979 3.6979 21.6092 Å, 90.00 90.00 120.00°
Space group R3m (No. 160, hexagonal axes)
Symmetry-distinct sites (fractional):
Sm  0.0000  0.0000  0.0000 [3 per cell]
Er  0.0000  0.0000  0.7869 [3 per cell]
C  0.0000  0.0000  0.3992 [3 per cell]
Br  0.0000  0.0000  0.2227 [3 per cell]

***

# 10
Crystalline Nd3Zn2Pd3 at its relaxed geometry, computed with PBE-GGA.

Cell: 4.251 11.658 14.449 Å, 90.00 90.00 90.00°
Space group Cmcm (No. 63)
Symmetry-distinct sites (fractional):
Nd  0.000  0.081  0.107 [8 per cell]
Nd  0.000  0.353  0.250 [4 per cell]
Zn  0.000  0.220  0.588 [8 per cell]
Pd  0.000  0.340  0.750 [4 per cell]
Pd  0.000  0.394  0.045 [8 per cell]

Summary:
Energy above the lowest structure with this stoichiometry, meV per atom: 0

***

# 11
Crystalline AcLa4PmDy2 at its relaxed geometry, computed with PBE-GGA.

Cell: 11.704 5.259 10.566 Å, 90.00 116.95 90.00°
Space group C2/m (No. 12)
Symmetry-distinct sites (fractional):
Ac  0.000  0.000  0.000 [2 per cell]
La  0.247  0.000  0.870 [4 per cell]
La  0.249  0.500  0.623 [4 per cell]
Pm  0.000  0.000  0.500 [2 per cell]
Dy  0.001  0.500  0.745 [4 per cell]

***

# 12
Crystalline KMg2Sc at its relaxed geometry, computed with PBE-GGA.

Cell: 5.409 5.409 7.778 Å, 90.00 90.00 90.00°
Space group I-4m2 (No. 119)
Symmetry-distinct sites (fractional):
K  0.000  0.000  0.000 [2 per cell]
Mg  0.000  0.000  0.500 [2 per cell]
Mg  0.000  0.500  0.750 [2 per cell]
Sc  0.000  0.500  0.250 [2 per cell]

Summary:
Energy above the lowest structure with this stoichiometry, meV per atom: 255

***

Number 1: total magnetic moment 0.00 Bohr magnetons per cell, uncorrected energy -1.989 eV/atom. Number 2: total magnetic moment 5.58 Bohr magnetons per cell, uncorrected energy -4.152 eV/atom. Number 3: total magnetic moment 0.00 Bohr magnetons per cell, uncorrected energy -3.894 eV/atom. Number 4: total magnetic moment 0.00 Bohr magnetons per cell, uncorrected energy -2.612 eV/atom. Number 5: total magnetic moment 25.40 Bohr magnetons per cell, uncorrected energy -4.158 eV/atom. Number 6: total magnetic moment 0.00 Bohr magnetons per cell, uncorrected energy -3.830 eV/atom. Number 7: total magnetic moment 12.42 Bohr magnetons per cell, uncorrected energy -10.558 eV/atom. Number 8: total magnetic moment 0.00 Bohr magnetons per cell, uncorrected energy -2.307 eV/atom. Number 9: total magnetic moment 0.00 Bohr magnetons per cell, uncorrected energy -5.977 eV/atom. Number 10: total magnetic moment 0.00 Bohr magnetons per cell, uncorrected energy -4.741 eV/atom. Number 11: total magnetic moment 0.00 Bohr magnetons per cell, uncorrected energy -4.691 eV/atom. Number 12: total magnetic moment 0.00 Bohr magnetons per cell, uncorrected energy -2.236 eV/atom.